No. 1
## ZrRe2Ir (PBE)

Data for an optimized crystal structure of ZrRe2Ir.

Summary:
For the mass density, the calculation gives 16.5 Mg/m³. The formation energy is 0.04 eV per atom. The value obtained for the energy relative to the lowest polymorph listed for this composition is 176 meV/atom. As for the crystal system: cubic.

Unit cell a=4.5322 b=4.5322 c=4.5322 alpha=60.00 beta=60.00 gamma=60.00
Fractional coordinates of all 4 atoms:
Zr 0.0000 0.0000 0.0000
Re 0.5000 0.5000 0.5000
Re 0.7500 0.7500 0.7500
Ir 0.2500 0.2500 0.2500


No. 2
## ZrRe2Ir (PBE)

Data for an optimized crystal structure of ZrRe2Ir.

Summary:
For the mass density, the calculation gives 16.6 Mg/m³. The formation energy is -0.04 eV per atom. The value obtained for the energy relative to the lowest polymorph listed for this composition is 97 meV/atom. As for the crystal system: monoclinic.

Unit cell a=4.9133 b=4.9133 c=4.9792 alpha=99.42 beta=99.42 gamma=33.73
Fractional coordinates of all 4 atoms:
Zr 0.0000 0.0000 0.0000
Re 0.5086 0.5086 0.4967
Re 0.7664 0.7664 0.3139
Ir 0.2444 0.2444 0.7654


No. 3
## Zr6ReIr5 (PBE)

Data for an optimized crystal structure of Zr6ReIr5.

Summary:
For the mass density, the calculation gives 12.9 Mg/m³. The formation energy is -0.71 eV per atom. As for the crystal system: orthorhombic.

Unit cell a=8.1514 b=8.1514 c=8.1514 alpha=146.60 beta=132.59 gamma=59.23
Fractional coordinates of all 12 atoms:
Zr 0.0823 0.3349 0.7474
Zr 0.2472 0.0000 0.2472
Zr 0.4125 0.6651 0.7474
Zr 0.5875 0.3349 0.2526
Zr 0.7528 0.0000 0.7528
Zr 0.9177 0.6651 0.2526
Re 0.5000 0.5000 0.0000
Ir 0.0000 0.5000 0.5000
Ir 0.1787 0.1787 0.0000
Ir 0.3398 0.8398 0.5000
Ir 0.6602 0.1602 0.5000
Ir 0.8213 0.8213 0.0000


No. 4
## ZrRe2Ir (PBE)

Data for an optimized crystal structure of ZrRe2Ir.

Summary:
For the mass density, the calculation gives 16.7 Mg/m³. The formation energy is -0.08 eV per atom. The value obtained for the energy relative to the lowest polymorph listed for this composition is 57 meV/atom. As for the crystal system: monoclinic.

Unit cell a=5.0246 b=5.0246 c=4.8411 alpha=99.74 beta=99.74 gamma=32.91
Fractional coordinates of all 4 atoms:
Zr 0.0000 0.0000 0.0000
Re 0.2334 0.2334 0.7320
Re 0.7666 0.7666 0.2680
Ir 0.5000 0.5000 0.5000


No. 5
## ZrRe2Ir2 (PBE)

Data for an optimized crystal structure of ZrRe2Ir2.

Summary:
For the mass density, the calculation gives 17.2 Mg/m³. The formation energy is -0.21 eV per atom. The value obtained for the energy relative to the lowest polymorph listed for this composition is 27 meV/atom. As for the crystal system: tetragonal.

Unit cell a=7.7130 b=7.7130 c=2.7550 alpha=90.00 beta=90.00 gamma=90.00
Fractional coordinates of all 10 atoms:
Zr 0.0000 0.0000 0.0000
Zr 0.5000 0.5000 0.0000
Re 0.1739 0.3261 0.5000
Re 0.3261 0.8261 0.5000
Re 0.6739 0.1739 0.5000
Re 0.8261 0.6739 0.5000
Ir 0.1230 0.6230 0.0000
Ir 0.3770 0.1230 0.0000
Ir 0.6230 0.8770 0.0000
Ir 0.8770 0.3770 0.0000


No. 6
## ZrRe2Ir (PBE)

Data for an optimized crystal structure of ZrRe2Ir.

Summary:
For the mass density, the calculation gives 16.7 Mg/m³. The formation energy is -0.09 eV per atom. The value obtained for the energy relative to the lowest polymorph listed for this composition is 48 meV/atom. As for the crystal system: orthorhombic.

Unit cell a=3.8708 b=3.9193 c=4.3103 alpha=90.00 beta=90.00 gamma=90.00
Fractional coordinates of all 4 atoms:
Zr 0.0000 0.0000 0.0000
Re 0.0000 0.5000 0.5000
Re 0.5000 0.0000 0.5000
Ir 0.5000 0.5000 0.0000


No. 7
## ZrRe2Ir (PBE)

Data for an optimized crystal structure of ZrRe2Ir.

Summary:
For the mass density, the calculation gives 16.6 Mg/m³. The formation energy is -0.04 eV per atom. The value obtained for the energy relative to the lowest polymorph listed for this composition is 101 meV/atom. As for the crystal system: orthorhombic.

Unit cell a=5.0672 b=5.0672 c=5.0672 alpha=134.53 beta=134.22 gamma=66.51
Fractional coordinates of all 4 atoms:
Zr 0.0000 0.0000 0.0000
Re 0.2497 0.7497 0.5000
Re 0.7503 0.2503 0.5000
Ir 0.5000 0.5000 0.0000


No. 8
## ZrRe4Ir (PBE)

Data for an optimized crystal structure of ZrRe4Ir.

Summary:
For the mass density, the calculation gives 17.2 Mg/m³. The formation energy is 0.03 eV per atom. As for the crystal system: cubic.

Unit cell a=5.2013 b=5.2013 c=5.2013 alpha=60.00 beta=60.00 gamma=60.00
Fractional coordinates of all 6 atoms:
Zr 0.0000 0.0000 0.0000
Re 0.3754 0.3754 0.3754
Re 0.3754 0.3754 0.8738
Re 0.3754 0.8738 0.3754
Re 0.8738 0.3754 0.3754
Ir 0.7500 0.7500 0.7500


No. 9
## ZrRe2Ir2 (PBE)

Data for an optimized crystal structure of ZrRe2Ir2.

Summary:
For the mass density, the calculation gives 17.2 Mg/m³. The formation energy is -0.23 eV per atom. The value obtained for the energy relative to the lowest polymorph listed for this composition is 0 meV/atom. As for the crystal system: tetragonal.

Unit cell a=7.6946 b=7.6946 c=2.7676 alpha=90.00 beta=90.00 gamma=90.00
Fractional coordinates of all 10 atoms:
Zr 0.0000 0.0000 0.0000
Zr 0.5000 0.5000 0.0000
Re 0.1211 0.3789 0.0000
Re 0.3789 0.8789 0.0000
Re 0.6211 0.1211 0.0000
Re 0.8789 0.6211 0.0000
Ir 0.1730 0.6730 0.5000
Ir 0.3270 0.1730 0.5000
Ir 0.6730 0.8270 0.5000
Ir 0.8270 0.3270 0.5000


No. 10
## ZrRe2Ir (PBE)

Data for an optimized crystal structure of ZrRe2Ir.

Summary:
For the mass density, the calculation gives 16.6 Mg/m³. The formation energy is 0.03 eV per atom. The value obtained for the energy relative to the lowest polymorph listed for this composition is 166 meV/atom. As for the crystal system: tetragonal.

Unit cell a=2.7708 b=2.7708 c=8.5377 alpha=90.00 beta=90.00 gamma=90.00
Fractional coordinates of all 4 atoms:
Zr 0.0000 0.0000 0.0000
Re 0.5000 0.5000 0.2751
Re 0.5000 0.5000 0.7249
Ir 0.0000 0.0000 0.5000


No. 11
## Zr3ReIr (PBE)

Data for an optimized crystal structure of Zr3ReIr.

Summary:
For the mass density, the calculation gives 8.9 Mg/m³. The formation energy is 0.83 eV per atom. The value obtained for the energy relative to the lowest polymorph listed for this composition is 0 meV/atom. As for the crystal system: cubic.

Unit cell a=4.9558 b=4.9558 c=4.9558 alpha=90.00 beta=90.00 gamma=90.00
Fractional coordinates of all 5 atoms:
Zr 0.0000 0.0000 0.5000
Zr 0.0000 0.5000 0.0000
Zr 0.5000 0.0000 0.0000
Re 0.5000 0.5000 0.5000
Ir 0.0000 0.0000 0.0000


No. 12
## ZrRe2Ir (PBE)

Data for an optimized crystal structure of ZrRe2Ir.

Summary:
For the mass density, the calculation gives 16.4 Mg/m³. The formation energy is -0.12 eV per atom. The value obtained for the energy relative to the lowest polymorph listed for this composition is 25 meV/atom. As for the crystal system: tetragonal.

Unit cell a=2.9293 b=2.9293 c=7.7459 alpha=90.00 beta=90.00 gamma=90.00
Fractional coordinates of all 4 atoms:
Zr 0.0000 0.0000 0.0000
Re 0.0000 0.0000 0.5096
Re 0.5000 0.5000 0.7239
Ir 0.5000 0.5000 0.2758


No. 13
## Zr3ReIr (PBE)

Data for an optimized crystal structure of Zr3ReIr.

Summary:
For the mass density, the calculation gives 8.8 Mg/m³. The formation energy is 0.84 eV per atom. The value obtained for the energy relative to the lowest polymorph listed for this composition is 15 meV/atom. As for the crystal system: cubic.

Unit cell a=4.9656 b=4.9656 c=4.9656 alpha=90.00 beta=90.00 gamma=90.00
Fractional coordinates of all 5 atoms:
Zr 0.0000 0.0000 0.5000
Zr 0.0000 0.5000 0.0000
Zr 0.5000 0.0000 0.0000
Re 0.0000 0.0000 0.0000
Ir 0.5000 0.5000 0.5000


No. 14
## ZrRe2Ir (PBE)

Data for an optimized crystal structure of ZrRe2Ir.

Summary:
For the mass density, the calculation gives 15.0 Mg/m³. The formation energy is 0.50 eV per atom. The value obtained for the energy relative to the lowest polymorph listed for this composition is 643 meV/atom. As for the crystal system: tetragonal.

Unit cell a=5.8945 b=5.8945 c=5.8945 alpha=101.12 beta=101.12 gamma=127.91
Fractional coordinates of all 8 atoms:
Zr 0.0000 0.0000 0.0000
Zr 0.7500 0.2500 0.5000
Re 0.1556 0.6250 0.0306
Re 0.3750 0.4056 0.5306
Re 0.5944 0.1250 0.9694
Re 0.8750 0.8444 0.4694
Ir 0.2500 0.7500 0.5000
Ir 0.5000 0.5000 0.0000


No. 15
## ZrRe2Ir (PBE)

Data for an optimized crystal structure of ZrRe2Ir.

Summary:
For the mass density, the calculation gives 16.8 Mg/m³. The formation energy is 0.05 eV per atom. The value obtained for the energy relative to the lowest polymorph listed for this composition is 192 meV/atom. As for the crystal system: orthorhombic.

Unit cell a=4.9916 b=4.9916 c=2.7942 alpha=90.00 beta=90.00 gamma=111.47
Fractional coordinates of all 4 atoms:
Zr 0.0000 0.0000 0.0000
Re 0.0000 0.5000 0.5000
Re 0.5000 0.0000 0.5000
Ir 0.5000 0.5000 0.0000